No. 1
TbPm2Tm PBE-GGA optimized geometry; energy of formation from the pure elements = 0.12 eV/atom; volume = 32.93 Å³ per atom; size of the total moment = 0.00 μB/cell; final energy = -4.532 eV per atom
1.0
0.000 4.038 4.038
4.038 0.000 4.038
4.038 4.038 0.000
Tb Pm Tm
1 2 1
direct
0.000 0.000 0.000
0.250 0.250 0.250
0.750 0.750 0.750
0.500 0.500 0.500

---

No. 2
Tb16Pm7Tm6 PBE-GGA optimized geometry; energy of formation from the pure elements = 0.26 eV/atom; volume = 34.06 Å³ per atom; size of the total moment = 0.00 μB/cell; final energy = -4.368 eV per atom
1.0
0.000 7.904 7.904
7.904 0.000 7.904
7.904 7.904 0.000
Tb Pm Tm
16 7 6
direct
0.049 0.650 0.650
0.126 0.126 0.126
0.126 0.126 0.622
0.126 0.622 0.126
0.350 0.350 0.350
0.350 0.350 0.951
0.350 0.951 0.350
0.378 0.874 0.874
0.622 0.126 0.126
0.650 0.049 0.650
0.650 0.650 0.049
0.650 0.650 0.650
0.874 0.378 0.874
0.874 0.874 0.378
0.874 0.874 0.874
0.951 0.350 0.350
0.000 0.000 0.000
0.000 0.000 0.500
0.000 0.500 0.000
0.000 0.500 0.500
0.500 0.000 0.000
0.500 0.000 0.500
0.500 0.500 0.000
0.264 0.264 0.736
0.264 0.736 0.264
0.264 0.736 0.736
0.736 0.264 0.264
0.736 0.264 0.736
0.736 0.736 0.264

---

Question: What is the volume in the second record?
Answer: 34.06 Å³ per atom

---

Repeat the second record exactly.
Tb16Pm7Tm6 PBE-GGA optimized geometry; energy of formation from the pure elements = 0.26 eV/atom; volume = 34.06 Å³ per atom; size of the total moment = 0.00 μB/cell; final energy = -4.368 eV per atom
1.0
0.000 7.904 7.904
7.904 0.000 7.904
7.904 7.904 0.000
Tb Pm Tm
16 7 6
direct
0.049 0.650 0.650
0.126 0.126 0.126
0.126 0.126 0.622
0.126 0.622 0.126
0.350 0.350 0.350
0.350 0.350 0.951
0.350 0.951 0.350
0.378 0.874 0.874
0.622 0.126 0.126
0.650 0.049 0.650
0.650 0.650 0.049
0.650 0.650 0.650
0.874 0.378 0.874
0.874 0.874 0.378
0.874 0.874 0.874
0.951 0.350 0.350
0.000 0.000 0.000
0.000 0.000 0.500
0.000 0.500 0.000
0.000 0.500 0.500
0.500 0.000 0.000
0.500 0.000 0.500
0.500 0.500 0.000
0.264 0.264 0.736
0.264 0.736 0.264
0.264 0.736 0.736
0.736 0.264 0.264
0.736 0.264 0.736
0.736 0.736 0.264

---

Question: What is the formula in the first record?
Answer: TbPm2Tm